The following is a PBE calculation of an optimized crystal structure of Ce2MnGa2Ge4, from Alexandria.

Results
Magnetic moment ... 3.6 μB per formula unit
E_tot ... -49.9 eV for the cell shown
Symmetry ... No. 139
DFT formation energy ... -485.4 meV/atom
Crystal system ... tetragonal

Geometry as extended XYZ:
```
9
Lattice="-2.478 -0.950 -5.642 0.065 -4.669 4.132 -2.954 3.711 4.047" Properties=species:S:1:pos:R:3 pbc="T T T"
Ge -2.117 1.389 4.071
Ge -0.771 -2.347 4.108
Ge -2.174 -0.792 -0.861
Ge -3.193 -1.116 3.398
Mn 0.000 0.000 0.000
Ga -0.823 -0.273 2.331
Ga -2.065 -0.685 5.848
Ce -1.929 -3.049 1.290
Ce -3.438 1.141 1.247
```